Compound: Si2AsRu
Source: the Alexandria database
Functional: GGA-PBEsol
Structure: optimized geometry Values from VASP.

## Properties
* calculated volume: 111.3 Å³ per cell
* raw formation energy: 0.1391 eV/atom
* E: -6.55 eV/atom

```
&SYSTEM
  ibrav = 0, nat = 8, ntyp = 3
/
ATOMIC_SPECIES
Si 28.09 Si.upf
As 74.92 As.upf
Ru 101.07 Ru.upf
ATOMIC_POSITIONS crystal
Si 0.2500 0.2500 0.0000
Si 0.2500 0.7500 0.0000
Si 0.7500 0.2500 0.0000
Si 0.7500 0.7500 0.0000
As 0.0000 0.0000 0.5000
As 0.5000 0.5000 0.5000
Ru 0.0000 0.5000 0.5000
Ru 0.5000 0.0000 0.5000
CELL_PARAMETERS angstrom
5.3550 0.0000 0.0000
0.0000 7.1772 0.0000
0.0000 0.0000 2.8959
```

Compound: Si2AsRu
Source: the Alexandria database
Functional: GGA-PBEsol
Structure: optimized geometry Values from VASP.

## Properties
* calculated volume: 318.0 Å³ per cell
* raw formation energy: 0.1906 eV/atom
* E: -6.50 eV/atom

```
&SYSTEM
  ibrav = 0, nat = 16, ntyp = 3
/
ATOMIC_SPECIES
Si 28.09 Si.upf
As 74.92 As.upf
Ru 101.07 Ru.upf
ATOMIC_POSITIONS crystal
Si 0.2287 0.2500 0.1250
Si 0.2500 0.7287 0.3750
Si 0.2500 0.7713 0.8750
Si 0.2713 0.2500 0.6250
Si 0.7287 0.7500 0.6250
Si 0.7500 0.2287 0.8750
Si 0.7500 0.2713 0.3750
Si 0.7713 0.7500 0.1250
As 0.0000 0.0000 0.5000
As 0.0000 0.5000 0.7500
As 0.5000 0.0000 0.2500
As 0.5000 0.5000 0.0000
Ru 0.0000 0.0000 0.0000
Ru 0.0000 0.5000 0.2500
Ru 0.5000 0.0000 0.7500
Ru 0.5000 0.5000 0.5000
CELL_PARAMETERS angstrom
5.5366 0.0000 0.0000
0.0000 5.5366 0.0000
0.0000 0.0000 10.3752
```

Compound: SiAsRu2
Source: the Alexandria database
Functional: GGA-PBEsol
Structure: optimized geometry Values from VASP.

## Properties
* calculated volume: 56.5 Å³ per cell
* raw formation energy: 0.0499 eV/atom
* E: -7.75 eV/atom

```
&SYSTEM
  ibrav = 0, nat = 4, ntyp = 3
/
ATOMIC_SPECIES
Si 28.09 Si.upf
As 74.92 As.upf
Ru 101.07 Ru.upf
ATOMIC_POSITIONS crystal
Si 0.0000 0.0000 0.0000
As 0.5000 0.0000 0.5000
Ru 0.0000 0.5000 0.5000
Ru 0.5000 0.5000 0.0000
CELL_PARAMETERS angstrom
2.9571 0.0000 0.0000
0.0000 3.8633 0.0000
0.0000 0.0000 4.9461
```

Compound: SiTeAsRu2
Source: the Alexandria database
Functional: GGA-PBEsol
Structure: optimized geometry Values from VASP.

## Properties
* calculated volume: 113.3 Å³ per cell
* raw formation energy: 1.7504 eV/atom
* E: -5.19 eV/atom

```
&SYSTEM
  ibrav = 0, nat = 5, ntyp = 4
/
ATOMIC_SPECIES
Si 28.09 Si.upf
Te 127.60 Te.upf
As 74.92 As.upf
Ru 101.07 Ru.upf
ATOMIC_POSITIONS crystal
Si 0.0000 0.0000 0.0000
Te 0.0000 0.0000 0.5000
As 0.5000 0.5000 0.0000
Ru 0.0000 0.5000 0.5000
Ru 0.5000 0.0000 0.5000
CELL_PARAMETERS angstrom
4.7785 0.0000 0.0000
0.0000 4.7785 0.0000
0.0000 0.0000 4.9608
```

Compound: SnAsRu2
Source: the Alexandria database
Functional: GGA-PBEsol
Structure: optimized geometry Values from VASP.

## Properties
* calculated volume: 245.5 Å³ per cell
* E: -7.39 eV/atom
* ΔE_f: 0.0415 eV per atom

```
&SYSTEM
  ibrav = 0, nat = 16, ntyp = 3
/
ATOMIC_SPECIES
Sn 118.71 Sn.upf
As 74.92 As.upf
Ru 101.07 Ru.upf
ATOMIC_POSITIONS crystal
Sn 0.0000 0.0000 0.0000
Sn 0.0000 0.5000 0.5000
Sn 0.5000 0.0000 0.5000
Sn 0.5000 0.5000 0.0000
As 0.0000 0.0000 0.5000
As 0.0000 0.5000 0.0000
As 0.5000 0.0000 0.0000
As 0.5000 0.5000 0.5000
Ru 0.2500 0.2500 0.2500
Ru 0.2500 0.2500 0.7500
Ru 0.2500 0.7500 0.2500
Ru 0.2500 0.7500 0.7500
Ru 0.7500 0.2500 0.2500
Ru 0.7500 0.2500 0.7500
Ru 0.7500 0.7500 0.2500
Ru 0.7500 0.7500 0.7500
CELL_PARAMETERS angstrom
6.2612 0.0000 0.0000
0.0000 6.2612 0.0000
0.0000 0.0000 6.2612
```

Compound: Sr2AsRu
Source: the Alexandria database
Functional: GGA-PBEsol
Structure: optimized geometry Values from VASP.

## Properties
* calculated volume: 205.0 Å³ per cell
* E: -4.97 eV/atom
* ΔE_f: -0.2347 eV per atom

```
&SYSTEM
  ibrav = 0, nat = 8, ntyp = 3
/
ATOMIC_SPECIES
Sr 87.62 Sr.upf
As 74.92 As.upf
Ru 101.07 Ru.upf
ATOMIC_POSITIONS crystal
Sr 0.0000 0.0000 0.0000
Sr 0.2101 0.0000 0.7093
Sr 0.5000 0.5000 0.0000
Sr 0.7101 0.5000 0.7093
As 0.4374 0.0000 0.4375
As 0.9374 0.5000 0.4375
Ru 0.3165 0.5000 0.3159
Ru 0.8165 0.0000 0.3159
CELL_PARAMETERS angstrom
11.4577 0.0000 0.0000
0.0000 3.9856 0.0000
-2.1592 0.0000 4.4898
```

Compound: SrAs4Ru
Source: the Alexandria database
Functional: GGA-PBEsol
Structure: optimized geometry Values from VASP.

## Properties
* calculated volume: 120.4 Å³ per cell
* E: -5.09 eV/atom
* ΔE_f: 0.3175 eV per atom

```
&SYSTEM
  ibrav = 0, nat = 6, ntyp = 3
/
ATOMIC_SPECIES
Sr 87.62 Sr.upf
As 74.92 As.upf
Ru 101.07 Ru.upf
ATOMIC_POSITIONS crystal
Sr 0.0000 0.0000 0.0000
As 0.1313 0.6229 0.6229
As 0.6229 0.1313 0.6229
As 0.6229 0.6229 0.1313
As 0.6229 0.6229 0.6229
Ru 0.2500 0.2500 0.2500
CELL_PARAMETERS angstrom
0.0000 3.9188 3.9188
3.9188 0.0000 3.9188
3.9188 3.9188 0.0000
```

Compound: SrAs2Ru
Source: the Alexandria database
Functional: GGA-PBEsol
Structure: optimized geometry Values from VASP.

## Properties
* calculated volume: 371.7 Å³ per cell
* E: -5.93 eV/atom
* ΔE_f: -0.3741 eV per atom

```
&SYSTEM
  ibrav = 0, nat = 16, ntyp = 3
/
ATOMIC_SPECIES
Sr 87.62 Sr.upf
As 74.92 As.upf
Ru 101.07 Ru.upf
ATOMIC_POSITIONS crystal
Sr 0.0000 0.0000 0.0000
Sr 0.0000 0.5000 0.2500
Sr 0.5000 0.0000 0.7500
Sr 0.5000 0.5000 0.5000
As 0.1640 0.7500 0.6250
As 0.2500 0.1640 0.3750
As 0.2500 0.3360 0.8750
As 0.3360 0.7500 0.1250
As 0.6640 0.2500 0.1250
As 0.7500 0.6640 0.8750
As 0.7500 0.8360 0.3750
As 0.8360 0.2500 0.6250
Ru 0.0000 0.0000 0.5000
Ru 0.0000 0.5000 0.7500
Ru 0.5000 0.0000 0.2500
Ru 0.5000 0.5000 0.0000
CELL_PARAMETERS angstrom
7.3251 0.0000 0.0000
0.0000 7.3251 0.0000
0.0000 0.0000 6.9281
```

Number 1: magnetization 0.0 μB per formula unit. Number 2: magnetization 0.0 μB per formula unit. Number 3: magnetization 0.0 μB per formula unit. Number 4: magnetization 1.0 μB per formula unit. Number 5: magnetization 0.0 μB per formula unit. Number 6: magnetization 0.0 μB per formula unit. Number 7: magnetization 1.7 μB per formula unit. Number 8: magnetization 0.0 μB per formula unit.